(1)
## SmAgHg2 (PBEsol)

Data for a relaxed structure of SmAgHg2.

POSCAR file:
```
SmAgHg2
1.0
4.963 0.000 0.000
2.482 4.298 0.000
2.482 1.433 4.052
Hg Ag Sm
2 1 1
direct
0.250 0.250 0.250 Hg
0.750 0.750 0.750 Hg
0.000 0.000 0.000 Ag
0.500 0.500 0.500 Sm
```

Symmetry   Fm-3m, No. 225
Crystal system   cubic

***

(2)
## Sm2AgHg (PBEsol)

Data for a relaxed structure of Sm2AgHg.

POSCAR file:
```
Sm2AgHg
1.0
5.201 0.000 0.000
2.601 4.504 0.000
2.601 1.501 4.247
Sm Hg Ag
2 1 1
direct
0.250 0.250 0.250 Sm
0.750 0.750 0.750 Sm
0.000 0.000 0.000 Hg
0.500 0.500 0.500 Ag
```

Symmetry   Fm-3m, No. 225
Crystal system   cubic

***

(3)
## AgSn2Hg2 (PBEsol)

Data for a relaxed structure of AgSn2Hg2.

POSCAR file:
```
AgSn2Hg2
1.0
-1.510 2.520 2.836
2.251 -1.862 2.853
5.275 4.511 -4.140
Sn Ag Hg
2 1 2
direct
0.250 0.750 0.500 Sn
0.750 0.250 0.500 Sn
0.000 0.000 0.000 Ag
0.591 0.591 0.181 Hg
0.409 0.409 0.819 Hg
```

Symmetry   I4/mmm, No. 139
Crystal system   tetragonal

***

(4)
## AgSn3Hg (PBEsol)

Data for a relaxed structure of AgSn3Hg.

POSCAR file:
```
AgSn3Hg
1.0
5.437 0.000 0.000
0.000 5.437 0.000
0.000 0.000 5.437
Sn Ag Hg
3 1 1
direct
0.500 0.000 0.000 Sn
0.000 0.000 0.500 Sn
0.000 0.500 0.000 Sn
0.500 0.500 0.500 Ag
0.000 0.000 0.000 Hg
```

Symmetry   Pm-3m, No. 221
Crystal system   cubic

***

Total DFT energy (no corrections)
In order: -2.825; -3.931; -2.326; -2.579
Unit: eV/atom